BeCo2Tc | PBEsol | relaxed

```
BeCo2Tc
1.0
3.421 0.000 0.000
0.000 3.421 0.000
-1.710 -1.710 3.584
Co Be Tc
2 1 1
direct
0.750 0.250 0.500
0.000 0.000 0.000
0.250 0.750 0.500
0.500 0.500 0.000
```

Results
- D(E_F): 4.38 states/eV per cell
- Energy of formation from the pure elements: 0.0 kcal/mol of atoms
- Symmetry: I-4m2 (119)
- Relative energy among the computed polymorphs: 0.208 eV/atom

=====

Ir4Rh | PBEsol | relaxed

```
Ir4Rh
1.0
-3.633 -0.579 1.023
-0.780 -4.153 2.005
-1.008 1.409 4.345
Ir Rh
4 1
direct
0.401 0.399 0.799
0.200 0.201 0.399
0.800 0.799 0.601
0.599 0.601 0.201
0.000 0.000 0.000
```

Results
- D(E_F): 5.10 states/eV per cell
- Energy of formation from the pure elements: -0.3 kcal/mol of atoms
- Symmetry: I4/m (87)

=====

GeAu3I | PBEsol | relaxed

```
GeAu3I
1.0
-0.548 -0.868 -5.103
4.380 -2.812 0.008
-2.758 -4.293 1.027
Ge I Au
1 1 3
direct
0.500 0.500 0.500
0.000 0.000 0.000
0.000 0.500 0.000
0.500 0.000 0.000
0.000 0.000 0.500
```

Results
- E_form (uncorrected): 1.199 eV per atom
- D(E_F): 2.72 states/eV per cell
- Symmetry: Pm-3m (221)

=====

BaCu2Ru | PBEsol | relaxed

```
BaCu2Ru
1.0
-0.991 1.304 -4.346
-4.406 0.786 -1.241
-1.434 4.334 -0.854
Ru Ba Cu
1 1 2
direct
0.250 0.250 0.250
0.500 0.500 0.500
0.750 0.750 0.750
0.000 0.000 0.000
```

Results
- D(E_F): 1.84 states/eV per cell
- Energy of formation from the pure elements: 20.3 kcal/mol of atoms
- Symmetry: F-43m (216)
- Relative energy among the computed polymorphs: 0.608 eV/atom

=====

Tc2TeMo | PBEsol | relaxed

```
Tc2TeMo
1.0
-2.400 -0.532 1.687
-2.107 -1.100 -3.343
1.557 -4.961 0.651
Tc Te Mo
2 1 1
direct
0.000 0.000 0.998
0.500 0.500 0.236
0.000 0.000 0.494
0.500 0.500 0.772
```

Results
- E_form (uncorrected): 0.377 eV per atom
- D(E_F): 3.72 states/eV per cell
- Symmetry: Pmm2 (25)

=====

Mg | PBEsol | relaxed

```
Mg
1.0
-4.678 1.185 1.538
0.794 -1.492 -4.775
-0.812 -5.096 1.457
Mg
4
direct
0.667 0.333 0.750
0.333 0.667 0.250
0.000 0.000 0.250
0.000 0.000 0.750
```

Results
- D(E_F): 2.37 states/eV per cell
- Energy of formation from the pure elements: 12.2 kcal/mol of atoms
- Symmetry: P6_3/mmc (194)
- Relative energy among the computed polymorphs: 0.529 eV/atom

=====

LaY2Tl | PBEsol | relaxed

```
LaY2Tl
1.0
4.735 0.000 0.000
0.000 4.735 0.000
-2.368 -2.368 5.045
Y La Tl
2 1 1
direct
0.000 0.000 0.000
0.750 0.250 0.500
0.500 0.500 0.000
0.250 0.750 0.500
```

Results
- D(E_F): 4.97 states/eV per cell
- Energy of formation from the pure elements: -5.2 kcal/mol of atoms
- Symmetry: I-4m2 (119)
- Relative energy among the computed polymorphs: 0.009 eV/atom

=====

Cu2ReSb | PBEsol | relaxed

```
Cu2ReSb
1.0
3.671 0.000 0.000
0.000 3.816 0.000
-1.835 -1.908 4.109
Cu Sb Re
2 1 1
direct
0.746 0.246 0.492
0.005 0.005 0.011
0.251 0.751 0.502
0.498 0.498 0.995
```

Results
- E_form (uncorrected): 0.330 eV per atom
- D(E_F): 1.31 states/eV per cell
- Symmetry: Imm2 (44)

=====

> Which formula does entry 7 have?

LaY2Tl